Model a:
YOs2Ru | PBE | relaxed

Results
The calculation puts the total moment at 0.00 μB/atom. Its crystal system is monoclinic. As for the theoretical density: 13.97 g cm⁻³. The value obtained for the density of states at the Fermi level is 3.840 states/eV/cell.

abc: 5.2046 5.2046 4.8175
angles: 75.59 75.59 32.56
Positions (direct):
Os 0.9776 0.9776 0.0447
Os 0.5224 0.5224 0.4553
Ru 0.2500 0.2500 0.2500
Y 0.7500 0.7500 0.7500

Model b:
YOs2Ru | PBE | relaxed

Results
The calculation puts the total moment at 0.13 μB/atom. Its crystal system is trigonal. As for the theoretical density: 14.39 g cm⁻³. The value obtained for the density of states at the Fermi level is 5.000 states/eV/cell.

abc: 9.7844 9.7844 9.7844
angles: 16.49 16.49 16.49
Each line ends with the local moment (μB).
Positions (direct):
Os 0.9906 0.9906 0.9906  0.04
Os 0.5094 0.5094 0.5094  0.04
Ru 0.2500 0.2500 0.2500  0.07
Y 0.7500 0.7500 0.7500  0.29

Sorted by energy, starting with the most stable: model a, model b.

Model a:
YOs2Ru | PBE | relaxed

Results
The calculation puts the total moment at 0.00 μB/atom. Its crystal system is tetragonal. As for the theoretical density: 14.12 g cm⁻³. The value obtained for the density of states at the Fermi level is 5.373 states/eV/cell.

abc: 5.1163 5.1163 5.1163
angles: 134.50 134.50 66.31
Positions (direct):
Os 0.0000 0.0000 0.0000
Os 0.5000 0.5000 0.0000
Ru 0.2500 0.7500 0.5000
Y 0.7500 0.2500 0.5000

Model b:
YOs2Ru | PBE | relaxed

Results
The calculation puts the total moment at 0.48 μB/atom. Its crystal system is cubic. As for the theoretical density: 13.98 g cm⁻³. The value obtained for the density of states at the Fermi level is 6.052 states/eV/cell.

abc: 4.5762 4.5762 4.5762
angles: 60.00 60.00 60.00
Each line ends with the local moment (μB).
Positions (direct):
Y 0.0000 0.0000 0.0000  0.00
Ru 0.5000 0.5000 0.5000  1.01
Os 0.2500 0.2500 0.2500  0.42
Os 0.7500 0.7500 0.7500  0.42

Sorted by energy, starting with the most stable: model a, model b.

Model a:
YOs2Ru | PBE | relaxed

Results
The calculation puts the total moment at 0.00 μB/atom. Its crystal system is orthorhombic. As for the theoretical density: 14.25 g cm⁻³. The value obtained for the density of states at the Fermi level is 5.299 states/eV/cell.

abc: 3.0476 4.5769 4.7665
angles: 90.00 90.00 90.00
Positions (direct):
Os 0.0000 0.0000 0.0000
Os 0.5000 0.5000 0.0000
Ru 0.5000 0.0000 0.5000
Y 0.0000 0.5000 0.5000

Model b:
YOs2Ru | PBE | relaxed

Results
The calculation puts the total moment at 0.00 μB/atom. Its crystal system is tetragonal. As for the theoretical density: 14.03 g cm⁻³. The value obtained for the density of states at the Fermi level is 2.746 states/eV/cell.

abc: 2.9118 2.9118 7.9604
angles: 90.00 90.00 90.00
Positions (direct):
Os 0.0000 0.0000 0.0379
Os 0.5000 0.5000 0.2489
Ru 0.0000 0.0000 0.4636
Y 0.5000 0.5000 0.7496

Sorted by energy, starting with the most stable: model b, model a.

Model a:
YOs2Ru | PBE | relaxed

Results
The calculation puts the total moment at 0.00 μB/atom. Its crystal system is tetragonal. As for the theoretical density: 14.15 g cm⁻³. The value obtained for the density of states at the Fermi level is 4.251 states/eV/cell.

abc: 2.8733 2.8733 8.1085
angles: 90.00 90.00 89.98
Positions (direct):
Os 0.0000 0.0000 0.0352
Os 0.0000 0.0000 0.4648
Ru 0.5000 0.5000 0.2500
Y 0.5000 0.5000 0.7500

Model b:
YOs2Ru | PBE | relaxed

Results
The calculation puts the total moment at 0.00 μB/atom. Its crystal system is monoclinic. As for the theoretical density: 13.94 g cm⁻³. The value obtained for the density of states at the Fermi level is 2.933 states/eV/cell.

abc: 4.3337 2.8839 5.6268
angles: 75.06 90.00 90.00
Positions (direct):
Os 0.0000 0.0296 0.0670
Os 0.5000 0.4488 0.2286
Ru 0.0000 0.3196 0.4845
Y 0.5000 0.7020 0.7200

Sorted by energy, starting with the most stable: model b, model a.